No. 1
Density functional theory data (PBEsol) for a relaxed structure of Li2Au.

Results
Calculated volume   17.40 Å³/atom
ΔE_f   -1.21 eV per formula unit
Density   6.7 g/cm3
VASP energy   -3.023 eV/atom
Space group   I4/mcm (140)

a b c (Å): 5.1603 5.1603 5.1603
angles (deg): 105.87 105.87 116.94
Last column: nearest neighbours and their distance in Å.
Fractional positions:
1 Au 0.2500 0.2500 0.0000  8 Li 2.67, 2 Au 2.70
2 Li 0.1714 0.3286 0.5000  4 Au 2.67
3 Au 0.7500 0.7500 0.0000  8 Li 2.67, 2 Au 2.70
4 Li 0.3286 0.8286 0.1571  4 Au 2.67
5 Li 0.8286 0.6714 0.5000  4 Au 2.67
6 Li 0.6714 0.1714 0.8429  4 Au 2.67

***

No. 2
Density functional theory data (PBEsol) for a relaxed structure of LiAu3.

Results
Calculated volume   15.87 Å³/atom
ΔE_f   -1.00 eV per formula unit
Density   15.6 g/cm3
VASP energy   -3.684 eV/atom
Space group   P4/mmm (123)

a b c (Å): 2.8136 2.8136 8.0208
angles (deg): 90.00 90.00 90.00
Last column: nearest neighbours and their distance in Å.
Fractional positions:
1 Au 0.0000 0.0000 0.7685  4 Li 2.72, 8 Au 2.81-2.93
2 Au 0.0000 0.0000 0.2315  4 Li 2.72, 8 Au 2.81-2.93
3 Au 0.5000 0.5000 0.5000  12 Au 2.81-2.93
4 Li 0.5000 0.5000 0.0000  8 Au 2.72, 4 Li 2.81

***

No. 3
Density functional theory data (PBEsol) for a relaxed structure of LiAu3.

Results
Calculated volume   16.18 Å³/atom
ΔE_f   -1.16 eV per formula unit
Density   15.3 g/cm3
VASP energy   -3.726 eV/atom
Space group   C2/m (12)

a b c (Å): 2.8370 4.9028 4.9180
angles (deg): 98.57 106.68 90.03
Last column: nearest neighbours and their distance in Å.
Fractional positions:
1 Au 0.7497 0.2454 0.4992  9 Au 2.79-2.87, 3 Li 2.81-2.85
2 Au 0.5000 0.5000 0.0000  8 Au 2.83-2.87, 4 Li 2.83
3 Li 0.0000 0.0000 0.0000  10 Au 2.81-2.85, 2 Li 2.84
4 Au 0.2503 0.7546 0.5008  9 Au 2.79-2.87, 3 Li 2.81-2.85

***

No. 4
Density functional theory data (PBEsol) for a relaxed structure of Li2Au.

Results
Calculated volume   15.03 Å³/atom
ΔE_f   -1.19 eV per formula unit
Density   7.8 g/cm3
VASP energy   -3.017 eV/atom
Space group   P6_3/mmc (194)

a b c (Å): 4.4196 4.4196 5.3321
angles (deg): 90.00 90.00 120.00
Last column: nearest neighbours and their distance in Å.
Fractional positions:
1 Li 0.6667 0.3333 0.7500  5 Au 2.55-2.67
2 Au 0.6667 0.3333 0.2500  5 Li 2.55-2.67
3 Li 0.3333 0.6667 0.2500  5 Au 2.55-2.67
4 Au 0.3333 0.6667 0.7500  5 Li 2.55-2.67
5 Li 0.0000 0.0000 0.5000  8 Li 2.67-2.88, 6 Au 2.88
6 Li 0.0000 0.0000 0.0000  8 Li 2.67-2.88, 6 Au 2.88

***

No. 5
Density functional theory data (PBEsol) for a relaxed structure of LiAu3.

Results
Calculated volume   15.90 Å³/atom
ΔE_f   -1.39 eV per formula unit
Density   15.6 g/cm3
VASP energy   -3.782 eV/atom
Space group   P6_3/mmc (194)

a b c (Å): 4.7365 5.5691 5.5691
angles (deg): 120.00 90.00 90.00
Last column: nearest neighbours and their distance in Å.
Fractional positions:
1 Au 0.2500 0.1684 0.3367  8 Au 2.76-2.87, 4 Li 2.78-2.85
2 Au 0.7500 0.8316 0.1684  8 Au 2.76-2.87, 4 Li 2.78-2.85
3 Au 0.7500 0.8316 0.6633  8 Au 2.76-2.87, 4 Li 2.78-2.85
4 Au 0.2500 0.1684 0.8316  8 Au 2.76-2.87, 4 Li 2.78-2.85
5 Li 0.7500 0.3333 0.6667  12 Au 2.78-2.85
6 Au 0.7500 0.3367 0.1684  8 Au 2.76-2.87, 4 Li 2.78-2.85
7 Li 0.2500 0.6667 0.3333  12 Au 2.78-2.85
8 Au 0.2500 0.6633 0.8316  8 Au 2.76-2.87, 4 Li 2.78-2.85

***

No. 6
Density functional theory data (PBEsol) for a relaxed structure of Li5Au4.

Results
Calculated volume   15.06 Å³/atom
ΔE_f   -3.77 eV per formula unit
Density   10.1 g/cm3
VASP energy   -3.256 eV/atom
Space group   P6_3/mcm (193)

a b c (Å): 5.3499 7.6489 7.6489
angles (deg): 120.00 90.00 90.00
Last column: nearest neighbours and their distance in Å.
Fractional positions:
1 Au 0.2500 0.3703 0.3703  9 Li 2.53-2.77
2 Au 0.2500 0.0000 0.6297  9 Li 2.53-2.77
3 Au 0.0000 0.0000 0.0000  6 Li 2.65, 2 Au 2.67
4 Li 0.7500 0.2989 0.2989  7 Au 2.53-2.73
5 Li 0.5000 0.6667 0.3333  2 Li 2.67, 6 Au 2.77
6 Au 0.7500 0.0000 0.3703  9 Li 2.53-2.77
7 Au 0.7500 0.6297 0.6297  9 Li 2.53-2.77
8 Li 0.7500 0.0000 0.7011  7 Au 2.53-2.73
9 Li 0.0000 0.6667 0.3333  2 Li 2.67, 6 Au 2.77
10 Li 0.0000 0.3333 0.6667  2 Li 2.67, 6 Au 2.77
11 Li 0.2500 0.2989 0.0000  7 Au 2.53-2.73
12 Au 0.2500 0.6297 0.0000  9 Li 2.53-2.77
13 Au 0.5000 0.0000 0.0000  6 Li 2.65, 2 Au 2.67
14 Li 0.2500 0.0000 0.2989  7 Au 2.53-2.73
15 Li 0.5000 0.3333 0.6667  2 Li 2.67, 6 Au 2.77
16 Li 0.7500 0.7011 0.0000  7 Au 2.53-2.73
17 Li 0.2500 0.7011 0.7011  7 Au 2.53-2.73
18 Au 0.7500 0.3703 0.0000  9 Li 2.53-2.77

***

No. 7
Density functional theory data (PBEsol) for a relaxed structure of Li2Au.

Results
Calculated volume   16.46 Å³/atom
ΔE_f   -0.76 eV per formula unit
Density   7.1 g/cm3
VASP energy   -2.871 eV/atom
Space group   P-3m1 (164)

a b c (Å): 2.9036 2.9036 6.7617
angles (deg): 90.00 90.00 120.00
Last column: nearest neighbours and their distance in Å.
Fractional positions:
1 Li 0.3333 0.6667 0.3091  3 Au 2.68, 6 Li 2.90
2 Li 0.6667 0.3333 0.6909  3 Au 2.68, 6 Li 2.90
3 Au 0.0000 0.0000 0.0000  6 Li 2.68, 6 Au 2.90

***

No. 8
Density functional theory data (PBEsol) for a relaxed structure of Li2Au.

Results
Calculated volume   14.77 Å³/atom
ΔE_f   -1.27 eV per formula unit
Density   7.9 g/cm3
VASP energy   -3.044 eV/atom
Space group   Pnma (62)

a b c (Å): 4.0574 5.4117 8.0708
angles (deg): 90.00 90.00 90.00
Last column: nearest neighbours and their distance in Å.
Fractional positions:
1 Li 0.2500 0.5914 0.7557  5 Au 2.70-2.81, 7 Li 2.71-2.81
2 Au 0.2500 0.6506 0.0882  10 Li 2.66-2.81, 2 Au 2.97
3 Li 0.2500 0.6533 0.4204  5 Au 2.66-2.72, 7 Li 2.73-2.92
4 Li 0.2500 0.1533 0.0796  5 Au 2.66-2.72, 7 Li 2.73-2.92
5 Li 0.7500 0.3467 0.5796  5 Au 2.66-2.72, 7 Li 2.73-2.92
6 Li 0.7500 0.4086 0.2443  5 Au 2.70-2.81, 7 Li 2.71-2.81
7 Li 0.2500 0.0914 0.7443  5 Au 2.70-2.81, 7 Li 2.71-2.81
8 Au 0.7500 0.8494 0.5882  10 Li 2.66-2.81, 2 Au 2.97
9 Au 0.2500 0.1506 0.4118  10 Li 2.66-2.81, 2 Au 2.97
10 Li 0.7500 0.9086 0.2557  5 Au 2.70-2.81, 7 Li 2.71-2.81
11 Au 0.7500 0.3494 0.9118  10 Li 2.66-2.81, 2 Au 2.97
12 Li 0.7500 0.8467 0.9204  5 Au 2.66-2.72, 7 Li 2.73-2.92

***

No. 9
Density functional theory data (PBEsol) for a relaxed structure of Li5Au.

Results
Calculated volume   16.10 Å³/atom
ΔE_f   -1.45 eV per formula unit
Density   4.0 g/cm3
Offset from the most stable computed form   1 meV/atom
VASP energy   -2.534 eV/atom
Space group   P-62m (189)

a b c (Å): 4.6033 4.9231 4.9231
angles (deg): 120.00 90.00 90.00
Last column: nearest neighbours and their distance in Å.
Fractional positions:
1 Li 0.0000 0.6913 0.0000  6 Li 2.63-2.86, 2 Au 2.76
2 Li 0.5000 0.3333 0.6667  9 Li 2.84-2.86, 3 Au 2.84
3 Li 0.0000 0.3087 0.3087  6 Li 2.63-2.86, 2 Au 2.76
4 Au 0.5000 0.0000 0.0000  12 Li 2.76-2.84
5 Li 0.0000 0.0000 0.6913  6 Li 2.63-2.86, 2 Au 2.76
6 Li 0.5000 0.6667 0.3333  9 Li 2.84-2.86, 3 Au 2.84

***

No. 10
Density functional theory data (PBEsol) for a relaxed structure of Li3Au2.

Results
Calculated volume   15.03 Å³/atom
ΔE_f   -2.33 eV per formula unit
Density   9.2 g/cm3
Offset from the most stable computed form   0 meV/atom
VASP energy   -3.216 eV/atom
Space group   P-1 (2)

a b c (Å): 4.8886 5.2462 7.2852
angles (deg): 87.14 109.43 61.74
Last column: nearest neighbours and their distance in Å.
Fractional positions:
1 Li 0.3272 0.5021 0.4990  6 Au 2.69-2.78, 6 Li 2.76-2.92
2 Li 0.7094 0.4914 0.2904  4 Li 2.58-2.83, 6 Au 2.70-2.80
3 Au 0.9444 0.0117 0.6030  9 Li 2.69-2.81, 3 Au 2.83
4 Li 0.1227 0.9979 0.0010  6 Au 2.69-2.78, 6 Li 2.76-2.92
5 Au 0.3538 0.9899 0.3984  9 Li 2.70-2.80, 3 Au 2.83-2.84
6 Au 0.5056 0.4884 0.8970  9 Li 2.69-2.81, 3 Au 2.83
7 Li 0.9105 0.5077 0.7087  4 Li 2.57-2.85, 6 Au 2.70-2.81
8 Li 0.7407 0.0084 0.2096  4 Li 2.58-2.83, 6 Au 2.70-2.80
9 Li 0.5395 0.9924 0.7913  4 Li 2.57-2.85, 6 Au 2.70-2.81
10 Au 0.0962 0.5101 0.1016  9 Li 2.70-2.80, 3 Au 2.83-2.84

***

No. 11
Density functional theory data (PBEsol) for a relaxed structure of LiAu3.

Results
Calculated volume   16.28 Å³/atom
ΔE_f   -1.04 eV per formula unit
Density   15.2 g/cm3
VASP energy   -3.695 eV/atom
Space group   R-3m (166)

a b c (Å): 2.7916 5.2721 5.2721
angles (deg): 116.95 100.17 100.17
Last column: nearest neighbours and their distance in Å.
Fractional positions:
1 Au 0.0000 0.0000 0.5000  6 Au 2.76-2.79, 2 Li 2.76
2 Li 0.5000 0.0000 0.0000  6 Au 2.76, 2 Li 2.79
3 Au 0.5000 0.5000 0.5000  2 Li 2.76, 6 Au 2.76-2.79
4 Au 0.0000 0.5000 0.0000  6 Au 2.76-2.79, 2 Li 2.76

***

No. 12
Density functional theory data (PBEsol) for a relaxed structure of LiAu3.

Results
Calculated volume   16.20 Å³/atom
ΔE_f   -1.14 eV per formula unit
Density   15.3 g/cm3
VASP energy   -3.720 eV/atom
Space group   Pmm2 (25)

a b c (Å): 2.8385 4.6594 4.8997
angles (deg): 90.00 90.00 90.00
Last column: nearest neighbours and their distance in Å.
Fractional positions:
1 Li 0.0000 0.5000 0.3330  10 Au 2.82-2.84, 2 Li 2.84
2 Au 0.0000 0.0000 0.0057  10 Au 2.80-2.87, 2 Li 2.83
3 Au 0.5000 0.5000 0.8307  4 Li 2.82-2.84, 8 Au 2.84-2.86
4 Au 0.5000 0.0000 0.4973  8 Au 2.80-2.87, 4 Li 2.84